Computed, not measured: a geometry-optimized NaCeSb2Pd2 structure at the GGA-PBE level of DFT.

Cell lengths 4.6561, 4.6561, 7.0117 Å; angles 90.00, 90.00, 120.00 degrees
Closest atoms and distances in Å follow each position.
Space group P-3m1 (No. 164)
One atom of each set of equivalent atoms:
Na 0.0000 0.0000 0.0000  6 Pd 3.03, 6 Sb 3.17
Ce 0.0000 0.0000 0.5000  6 Sb 3.25, 6 Pd 3.42, 2 Na 3.51
Sb 0.3333 0.6667 0.7602  3 Pd 2.70
Pd 0.3333 0.6667 0.1991  3 Sb 2.70

Calculated values
DFT total energy ... -30.1 eV/f.u.
DOS(E_F) ... 0.88 states/eV/atom
Formation energy without anion corrections ... -702 meV/atom